TlAg3Te3 | Alexandria via LeMat-Bulk | GGA-PBE | relaxed; offset from the most stable computed form = 72 meV/atom; space group = No. 223; formation energy (no corrections) = 0.002 eV/atom
1.0
7.8107 0.0000 0.0000
0.0000 7.8107 0.0000
0.0000 0.0000 7.8107
Tl Ag Te
2 6 6
direct
0.0000 0.0000 0.0000 Tl
0.5000 0.5000 0.5000 Tl
0.0000 0.2500 0.5000 Ag
0.0000 0.7500 0.5000 Ag
0.2500 0.5000 0.0000 Ag
0.5000 0.0000 0.2500 Ag
0.5000 0.0000 0.7500 Ag
0.7500 0.5000 0.0000 Ag
0.0000 0.5000 0.2500 Te
0.0000 0.5000 0.7500 Te
0.2500 0.0000 0.5000 Te
0.5000 0.2500 0.0000 Te
0.5000 0.7500 0.0000 Te
0.7500 0.0000 0.5000 Te